Ta2TiZn2O8 PBE optimized geometry; energy relative to the elements, uncorrected = -2309 meV per atom
1.0
9.7002 -2.9704 0.0000
9.7002 2.9704 0.0000
-0.0450 0.0000 5.2991
Ta Ti Zn O
4 2 4 16
Cartesian
7.4385 2.0985 3.8979
11.8945 2.0985 4.0507
7.4610 -2.0985 1.2484
11.9170 -2.0985 1.4012
9.6890 0.7462 1.3248
9.6665 -0.7462 3.9743
5.4729 0.8985 1.1999
5.4504 -0.8985 3.8494
13.9050 0.8985 1.4497
13.8826 -0.8985 4.0993
8.3730 2.2099 0.4060
3.3863 0.6088 3.0379
5.9128 0.8987 4.5382
11.0049 2.2099 2.2435
3.4087 -0.6088 0.3884
8.5584 0.7737 3.1124
10.7746 0.7737 4.8363
5.9353 -0.8987 1.8887
13.4201 0.8987 3.4104
8.5809 -0.7737 0.4628
10.7970 -0.7737 2.1868
15.9467 0.6088 4.9107
8.3505 -2.2099 3.0556
13.4426 -0.8987 0.7609
15.9692 -0.6088 2.2612
10.9825 -2.2099 4.8931

---

ZrTaTi2O PBE optimized geometry; energy relative to the elements, uncorrected = -916 meV per atom; relative energy among the computed polymorphs = 2.46 kcal/mol of atoms
1.0
4.2226 0.0000 0.0000
0.0000 4.2226 0.0000
0.0000 0.0000 4.4152
Zr Ta Ti O
1 1 2 1
Cartesian
0.0000 0.0000 0.0000
2.1113 2.1113 0.0000
0.0000 2.1113 2.2076
2.1113 0.0000 2.2076
2.1113 2.1113 2.2076

---

Zr2TaTiO PBE optimized geometry; energy relative to the elements, uncorrected = -1024 meV per atom; relative energy among the computed polymorphs = 0.00 kcal/mol of atoms
1.0
4.5940 0.0000 0.0000
0.0000 4.5940 0.0000
0.0000 0.0000 4.0165
Zr Ta Ti O
2 1 1 1
Cartesian
0.0000 2.2970 0.0000
2.2970 0.0000 0.0000
0.0000 0.0000 2.0082
2.2970 2.2970 2.0082
2.2970 2.2970 0.0000

---

Zr2TaTiO PBE optimized geometry; energy relative to the elements, uncorrected = -888 meV per atom; relative energy among the computed polymorphs = 3.14 kcal/mol of atoms
1.0
4.5503 0.0000 0.0000
0.0000 4.5503 0.0000
0.0000 0.0000 4.1772
Zr Ta Ti O
2 1 1 1
Cartesian
0.0000 2.2751 0.0000
2.2751 0.0000 0.0000
0.0000 0.0000 2.0886
2.2751 2.2751 2.0886
0.0000 0.0000 0.0000

---

ZrTaTi2O PBE optimized geometry; energy relative to the elements, uncorrected = -1023 meV per atom; relative energy among the computed polymorphs = 0.00 kcal/mol of atoms
1.0
4.1571 0.0000 0.0000
0.0000 4.1571 0.0000
0.0000 0.0000 4.5579
Zr Ta Ti O
1 1 2 1
Cartesian
0.0000 0.0000 0.0000
2.0786 2.0786 0.0000
0.0000 2.0786 2.2789
2.0786 0.0000 2.2789
0.0000 0.0000 2.2789

---

TaTl2O2 PBE optimized geometry; energy relative to the elements, uncorrected = 425 meV per atom; relative energy among the computed polymorphs = 0.00 kcal/mol of atoms
1.0
-1.8295 1.8295 6.5595
1.8295 -1.8295 6.5595
1.8295 1.8295 -6.5595
Ta Tl O
1 2 2
Cartesian
0.0000 0.0000 0.0000
0.0000 0.0000 4.6201
0.0000 0.0000 8.4988
1.8295 0.0000 3.2797
0.0000 1.8295 3.2797

---

TaTl3O PBE optimized geometry; energy relative to the elements, uncorrected = 646 meV per atom; relative energy among the computed polymorphs = 0.00 kcal/mol of atoms
1.0
4.7888 0.0000 0.0000
0.0000 4.7888 0.0000
0.0000 0.0000 4.7888
Ta Tl O
1 3 1
Cartesian
0.0000 0.0000 0.0000
0.0000 2.3944 2.3944
2.3944 0.0000 2.3944
2.3944 2.3944 0.0000
2.3944 2.3944 2.3944

---

TaTlO4 PBE optimized geometry; energy relative to the elements, uncorrected = -1934 meV per atom
1.0
5.0282 0.0000 0.0000
0.0000 5.8561 0.0000
0.0000 0.0000 10.9909
Ta Tl O
4 4 16
Cartesian
0.0000 0.7975 2.7477
0.0000 5.0585 8.2431
2.5141 2.1305 8.2431
2.5141 3.7256 2.7477
0.0000 2.9280 0.0000
0.0000 2.9280 5.4954
2.5141 0.0000 0.0000
2.5141 0.0000 5.4954
0.8486 1.1499 0.9908
0.8486 4.7062 6.4862
1.2143 2.4999 3.4129
1.2143 3.3562 8.9083
1.2998 0.4281 8.9083
1.2998 5.4279 3.4129
1.6655 1.7781 6.4862
1.6655 4.0779 0.9908
3.3627 1.7781 10.0001
3.3627 4.0779 4.5047
3.7284 0.4281 7.5780
3.7284 5.4279 2.0826
3.8139 2.4999 2.0826
3.8139 3.3562 7.5780
4.1796 1.1499 4.5047
4.1796 4.7062 10.0001

---

TaTlO4 PBE optimized geometry; energy relative to the elements, uncorrected = -1640 meV per atom
1.0
3.6015 0.0000 0.0000
0.0000 3.6015 0.0000
0.0000 0.0000 5.3779
Ta Tl O
1 1 4
Cartesian
0.0000 0.0000 0.0000
1.8007 1.8007 2.6890
0.0000 1.8007 1.1852
0.0000 1.8007 4.1927
1.8007 0.0000 1.1852
1.8007 0.0000 4.1927

---

TaTl2O2 PBE optimized geometry; energy relative to the elements, uncorrected = 534 meV per atom; relative energy among the computed polymorphs = 2.53 kcal/mol of atoms
1.0
7.4280 0.0000 0.0000
0.0000 7.4280 0.0000
0.0000 0.0000 3.1087
Ta Tl O
2 4 4
Cartesian
0.0000 0.0000 0.0000
3.7140 3.7140 0.0000
1.0581 2.6560 0.0000
2.6560 6.3700 0.0000
4.7721 1.0581 0.0000
6.3700 4.7721 0.0000
1.1662 4.8802 1.5543
2.5478 1.1662 1.5543
4.8802 6.2618 1.5543
6.2618 2.5478 1.5543

---

Ta2TlO PBE optimized geometry; energy relative to the elements, uncorrected = 559 meV per atom; relative energy among the computed polymorphs = 12.45 kcal/mol of atoms
1.0
0.0000 3.2152 3.2152
3.2152 0.0000 3.2152
3.2152 3.2152 0.0000
Ta Tl O
2 1 1
Cartesian
1.6076 1.6076 1.6076
4.8228 4.8228 4.8228
0.0000 0.0000 0.0000
3.2152 3.2152 3.2152

---

Ta2TlO PBE optimized geometry; energy relative to the elements, uncorrected = 19 meV per atom; relative energy among the computed polymorphs = 0.00 kcal/mol of atoms
1.0
-2.5925 2.5925 6.2038
2.5925 -2.5925 6.2038
2.5925 2.5925 -6.2038
Ta Tl O
4 2 2
Cartesian
0.3674 1.2963 1.5510
-1.2963 2.2251 4.6529
-0.3674 3.8888 1.5510
1.2963 2.9599 4.6529
2.5925 0.0000 3.1019
0.0000 0.0000 6.2038
0.0000 0.0000 0.0000
0.0000 2.5925 3.1019